Density functional theory data (PBE+U) for a geometry-optimized KMnMo2O8 structure.

The structure in POSCAR format:
```
KMnMo2O8
1.0
5.6545 0.0000 0.0000
2.8272 4.8969 0.0000
2.8272 1.6323 8.5676
K Mn Mo O
1 1 2 8
Cartesian
0.0000 0.0000 0.0000
5.6545 3.2646 4.2838
8.4817 4.8969 5.9909
2.8272 1.6323 2.5767
8.4817 4.8969 7.7577
2.8272 1.6323 0.8099
4.3068 2.4864 3.1561
7.0022 4.0426 5.4115
4.3068 4.0428 5.4115
5.6544 4.8208 3.1561
7.0022 2.4866 3.1561
5.6544 1.7084 5.4115
```

Calculated volume = 19.77 Å³ per atom
Total moment = 1.99 μB/f.u.
Energy = -80.27 eV/f.u.

=====

Density functional theory data (PBE+U) for a geometry-optimized K4MnMo4O15 structure.

The structure in POSCAR format:
```
K4MnMo4O15
1.0
-7.5758 2.8428 6.7859
5.8491 -8.5830 1.9085
5.5201 4.6948 4.1958
K Mn Mo O
8 2 8 30
Cartesian
-2.5825 -1.9381 7.9276
-0.4241 -0.8396 3.8589
6.3760 0.8928 4.9626
4.2176 -0.2057 9.0313
0.0000 0.0000 0.0000
7.7491 -2.9159 7.4178
-3.9556 1.8706 5.4724
2.7601 2.3474 2.0979
-0.5213 1.2281 7.1208
4.3148 -2.2734 5.7694
3.8592 -1.1938 2.2797
-1.4845 4.7766 7.2985
2.1608 -4.1054 4.1322
0.9521 -2.2327 7.2668
1.6327 3.0601 8.7580
2.8414 1.1874 5.6234
5.2780 -5.8219 5.5917
-0.0657 0.1485 10.6105
1.4505 -5.4612 5.0366
3.9502 2.5172 5.1936
2.3430 4.4159 7.8536
-0.2981 3.4014 7.6597
3.4904 -2.3516 3.6771
1.8903 0.6599 4.2369
4.9178 -2.8552 7.7568
-0.1567 -3.5625 7.6966
-1.1243 1.8099 5.1334
0.3031 1.3063 9.2130
-0.7452 -1.3269 9.9274
2.1276 -2.7731 5.9418
-2.4925 0.9126 7.9373
3.0716 2.2096 9.3637
0.7218 -3.2549 3.5265
2.7768 -4.9039 2.6681
3.8510 -0.2121 6.2028
-0.0576 -0.8332 6.6874
4.5387 0.2816 2.9628
5.3710 -6.9442 4.2080
6.2860 -1.9579 4.9529
6.8462 -5.1042 5.9535
2.3807 -0.8630 1.3377
-1.5775 5.8989 8.6822
1.0167 3.8586 10.2221
1.6659 1.7278 6.9484
-3.0527 4.0589 6.9367
1.9032 -1.7052 8.6533
4.0916 -4.4467 5.2305
1.4127 -0.1823 11.5525
```

Calculated volume = 16.85 Å³ per atom
Total moment = 5.00 μB/f.u.
Energy = -158.09 eV/f.u.

=====

Density functional theory data (PBE+U) for a geometry-optimized K2Mn2MoO6 structure.

The structure in POSCAR format:
```
K2Mn2MoO6
1.0
5.2766 0.0730 0.0315
-2.5445 4.6231 0.0315
-0.9898 -1.7014 6.1740
K Mn Mo O
2 2 1 6
Cartesian
3.9359 0.8530 0.0315
-1.2038 3.8431 0.0315
-0.4221 2.2497 3.1185
2.1643 0.7450 3.1185
-0.4949 -0.8507 3.0870
1.2840 2.2071 4.1513
-1.3776 0.6806 4.1324
0.4582 0.7876 2.0857
1.2726 -0.8612 4.1324
3.1199 2.3141 2.1046
0.4696 3.8559 2.1046
```

Calculated volume = 13.85 Å³ per atom
Total moment = 6.00 μB/f.u.
Energy = -69.76 eV/f.u.

=====

Density functional theory data (PBE+U) for a geometry-optimized KMnMoO6 structure.

The structure in POSCAR format:
```
KMnMoO6
1.0
5.1613 -0.0032 -0.0056
2.5778 4.4671 -0.0148
0.0190 0.0294 6.0296
K Mn Mo O
1 1 1 6
Cartesian
0.0015 0.0013 0.0853
2.5876 1.5027 2.9409
5.1702 2.9905 3.1637
6.2443 1.8900 1.8639
1.9781 0.0501 4.0907
4.1558 1.7022 4.0845
1.6348 2.7641 4.0855
3.6804 2.6039 1.8638
5.5788 4.4684 1.8583
```

Calculated volume = 15.45 Å³ per atom
Total moment = 2.00 μB/f.u.
Energy = -57.83 eV/f.u.

=====

Density functional theory data (PBE+U) for a geometry-optimized KMnMoO4 structure.

The structure in POSCAR format:
```
KMnMoO4
1.0
6.2292 0.0000 0.0000
-3.1146 5.9963 -0.0649
0.0000 -3.2950 5.4187
K Mn Mo O
2 2 2 8
Cartesian
3.1146 3.9426 0.5418
0.0000 -1.2412 4.8119
1.5573 1.3507 2.6769
-1.5573 1.3507 2.6769
3.1146 -1.6475 2.7093
3.1146 0.0000 0.0000
3.1146 0.3325 3.5426
1.7986 -0.6680 1.4494
4.4305 -0.6680 1.4494
3.1146 1.6509 1.3745
0.0000 1.0505 3.9793
1.3160 3.3693 3.9044
-1.3160 3.3693 3.9044
0.0000 2.3689 1.8111
```

Calculated volume = 14.36 Å³ per atom
Total moment = 6.00 μB/f.u.
Energy = -46.47 eV/f.u.